First-principles (GGA-PBEsol) data for a relaxed structure of TaW2Cl, as listed in the Alexandria database.

Structure (CIF):
```
data_TaW2Cl
_cell_length_a 2.8469
_cell_length_b 2.8469
_cell_length_c 8.8175
_cell_angle_alpha 90.00
_cell_angle_beta 90.00
_cell_angle_gamma 113.45
_symmetry_space_group_name_H-M 'P 1'
_symmetry_Int_Tables_number 1
_symmetry_space_group_name_Hall 'P 1'
loop_
_atom_site_label
_atom_site_type_symbol
_atom_site_fract_x
_atom_site_fract_y
_atom_site_fract_z
_atom_site_occupancy
W1 W 0.0000 0.0000 0.2481 1
Cl1 Cl 0.5000 0.5000 0.5000 1
W2 W 0.0000 0.0000 0.7519 1
Ta1 Ta 0.5000 0.5000 0.0000 1
```

Output
- SG: Cmmm, No. 65
- E: -40.52 eV for the cell shown
- Crystal system: orthorhombic